No. 1
## CsTe5Au4 (PBE)

Data for a relaxed CsTe5Au4 crystal.

Output
- Raw total energy: -3.16 eV/atom
- V: 367.3 Å³/f.u.
- Space group: Pmmn
- Raw formation energy: -0.19 eV per atom

The structure in POSCAR format:
```
CsTe5Au4
1.0
10.729 0.000 0.000
0.000 11.492 0.000
0.000 0.000 5.958
Cs Te Au
2 10 8
Direct
0.250 0.250 0.226
0.750 0.750 0.774
0.006 0.033 0.749
0.006 0.467 0.749
0.250 0.750 0.661
0.494 0.033 0.749
0.494 0.467 0.749
0.506 0.533 0.251
0.506 0.967 0.251
0.750 0.250 0.339
0.994 0.533 0.251
0.994 0.967 0.251
0.072 0.750 0.345
0.250 0.006 0.744
0.250 0.494 0.744
0.428 0.750 0.345
0.572 0.250 0.655
0.750 0.506 0.256
0.750 0.994 0.256
0.928 0.250 0.655
```

---

No. 2
## Pr2Tm7Tc2 (PBE)

Data for a relaxed Pr2Tm7Tc2 crystal.

Output
- Raw total energy: -5.56 eV/atom
- V: 317.8 Å³/f.u.
- Space group: Imm2
- Formation energy: 0.04 eV per atom

The structure in POSCAR format:
```
Pr2Tm7Tc2
1.0
-1.762 9.736 4.630
1.762 -9.736 4.630
1.762 9.736 -4.630
Pr Tm Tc
2 7 2
Direct
0.244 0.000 0.244
0.756 0.000 0.756
0.064 0.484 0.580
0.197 0.307 0.890
0.417 0.307 0.110
0.539 0.039 0.500
0.560 0.694 0.866
0.828 0.694 0.134
0.904 0.484 0.420
0.236 0.736 0.500
0.783 0.783 0.000
```

---

No. 3
## ReN (PBE)

Data for a relaxed ReN crystal.

Output
- Raw total energy: -10.34 eV/atom
- V: 21.6 Å³/f.u.
- Space group: R-3m
- Raw formation energy: 0.05 eV per atom

The structure in POSCAR format:
```
ReN
1.0
1.426 0.823 6.133
-1.426 0.823 6.133
0.000 -1.647 6.133
Re N
2 2
Direct
0.227 0.227 0.227
0.773 0.773 0.773
0.037 0.037 0.037
0.963 0.963 0.963
```

---

No. 4
## LiLuHgPd (PBE)

Data for a relaxed LiLuHgPd crystal.

Output
- Raw total energy: -3.51 eV/atom
- V: 77.9 Å³/f.u.
- Space group: F-43m
- Formation energy: -0.53 eV per atom

The structure in POSCAR format:
```
LiLuHgPd
1.0
0.000 3.390 3.390
3.390 0.000 3.390
3.390 3.390 0.000
Li Lu Hg Pd
1 1 1 1
Direct
0.000 0.000 0.000
0.500 0.500 0.500
0.750 0.750 0.750
0.250 0.250 0.250
```

---

No. 5
## Ga7Pd5 (PBE)

Data for a relaxed Ga7Pd5 crystal.

Output
- Raw total energy: -4.34 eV/atom
- V: 208.1 Å³/f.u.
- Space group: C2/m
- Formation energy: -0.41 eV per atom

The structure in POSCAR format:
```
Ga7Pd5
1.0
6.410 -1.466 0.000
6.410 1.466 0.000
-4.824 0.000 11.072
Ga Pd
7 5
Direct
0.000 0.000 0.000
0.165 0.165 0.514
0.246 0.246 0.839
0.478 0.478 0.713
0.522 0.522 0.287
0.754 0.754 0.161
0.835 0.835 0.486
0.203 0.203 0.307
0.368 0.368 0.071
0.500 0.500 0.500
0.632 0.632 0.929
0.797 0.797 0.693
```

---

No. 6
## La2ScW (PBE)

Data for a relaxed La2ScW crystal.

Output
- Raw total energy: -6.76 eV/atom
- V: 100.5 Å³/f.u.
- Space group: I-4m2
- Formation energy: 0.53 eV per atom

The structure in POSCAR format:
```
La2ScW
1.0
-2.434 2.434 4.243
2.434 -2.434 4.243
2.434 2.434 -4.243
La Sc W
2 1 1
Direct
0.000 0.000 0.000
0.750 0.250 0.500
0.250 0.750 0.500
0.500 0.500 0.000
```